1.
Below is a relaxed LaTlCd crystal, with properties calculated at the PBE-GGA level.

Lattice parameters (Å, degrees): 5.0201 5.0201 7.8284 90.00 90.00 120.00
Positions (direct):
Cd  0.3333  0.6667  0.0395
Cd  0.6667  0.3333  0.5395
La  0.0000  0.0000  0.2501
La  0.0000  0.0000  0.7501
Tl  0.3333  0.6667  0.4605
Tl  0.6667  0.3333  0.9605

Final energy: -18.9 eV per cell
SG: P6_3mc (186)


2.
Below is a relaxed LaTlCd crystal, with properties calculated at the PBE-GGA level.

Lattice parameters (Å, degrees): 5.0627 5.0627 7.6951 90.00 90.00 120.00
Positions (direct):
Cd  0.3333  0.6667  0.2500
Cd  0.6667  0.3333  0.7500
La  0.0000  0.0000  0.0000
La  0.0000  0.0000  0.5000
Tl  0.6667  0.3333  0.2500
Tl  0.3333  0.6667  0.7500

Final energy: -18.6 eV per cell
SG: P6_3/mmc (194)


3.
Below is a relaxed LaTmCd4 crystal, with properties calculated at the PBE-GGA level.

Lattice parameters (Å, degrees): 3.3889 4.9958 8.6990 90.00 90.03 90.00
Positions (direct):
Cd  0.4972  0.5000  0.1752
Cd  0.5035  0.0000  0.3401
Cd  0.4965  0.0000  0.6599
Cd  0.5028  0.5000  0.8248
La  0.0000  0.0000  0.0000
Tm  0.0000  0.5000  0.5000

Final energy: -14.9 eV per cell
SG: P2/m (10)
Energy relative to the elements: -0.3276 eV/atom


4.
Below is a relaxed LaCdW crystal, with properties calculated at the PBE-GGA level.

Lattice parameters (Å, degrees): 5.0059 5.0059 5.0059 60.00 60.00 60.00
Positions (direct):
Cd  0.2500  0.2500  0.2500
La  0.0000  0.0000  0.0000
W  0.7500  0.7500  0.7500

Final energy: -14.3 eV per cell
SG: F-43m (216)
Energy relative to the elements: 1.4774 eV/atom


5.
Below is a relaxed LaCdW crystal, with properties calculated at the PBE-GGA level.

Lattice parameters (Å, degrees): 4.9004 4.9004 4.9004 60.00 60.00 60.00
Positions (direct):
Cd  0.2500  0.2500  0.2500
La  0.7500  0.7500  0.7500
W  0.0000  0.0000  0.0000

Final energy: -15.7 eV per cell
SG: F-43m (216)
Energy relative to the elements: 1.0212 eV/atom


6.
Below is a relaxed LaYCd6 crystal, with properties calculated at the PBE-GGA level.

Lattice parameters (Å, degrees): 4.9036 6.5991 6.5991 66.29 90.00 90.00
Positions (direct):
Cd  0.5000  0.6200  0.1916
Cd  0.0000  0.3317  0.3317
Cd  0.0000  0.8027  0.3807
Cd  0.5000  0.1916  0.6200
Cd  0.5000  0.6760  0.6760
Cd  0.0000  0.3807  0.8027
La  0.5000  0.1369  0.1369
Y  0.0000  0.8604  0.8604

Final energy: -19.2 eV per cell
SG: Amm2 (38)
Energy relative to the elements: -0.3042 eV/atom


- Look up the final energy of the second one.
  -18.6 eV per cell